[1]
Material: LaAsW2N
Method: DFT, meta-GGA SCAN
State: PBEsol geometry

Values from the calculation:
Formation energy from raw total energies (kJ/mol of formula units): 79
Theoretical density (Mg/m³): 11.3
Magnetization (μB per formula unit): 0.00
E_tot (eV per cell): -211.14

Unit cell a=4.082 b=4.082 c=5.263 alpha=90.00 beta=90.00 gamma=90.00
Fractional coordinates of all 5 atoms:
La 0.000 0.000 0.000
As 0.500 0.500 0.000
W 0.000 0.500 0.500
W 0.500 0.000 0.500
N 0.500 0.500 0.500

***

[2]
Material: SiB2Te
Method: DFT, meta-GGA SCAN
State: PBEsol geometry

Values from the calculation:
Formation energy from raw total energies (kJ/mol of formula units): 667
Energy relative to the lowest polymorph listed for this composition (meV/atom): 1495
Theoretical density (Mg/m³): 5.6
Magnetization (μB per formula unit): 0.00
E_tot (eV per cell): -55.22

Unit cell a=4.196 b=4.196 c=4.196 alpha=60.00 beta=60.00 gamma=60.00
Fractional coordinates of all 4 atoms:
Si 0.000 0.000 0.000
B 0.250 0.250 0.250
B 0.750 0.750 0.750
Te 0.500 0.500 0.500

***

[3]
Material: Sr2Cl
Method: DFT, meta-GGA SCAN
State: PBEsol geometry

Values from the calculation:
Formation energy from raw total energies (kJ/mol of formula units): -289
Theoretical density (Mg/m³): 2.4
Magnetization (μB per formula unit): 0.35
E_tot (eV per cell): -111.05

Unit cell a=4.823 b=4.823 c=14.378 alpha=90.00 beta=90.00 gamma=120.00
Fractional coordinates of all 6 atoms:
Sr 0.000 0.000 0.000
Sr 0.000 0.000 0.500
Sr 0.333 0.667 0.250
Sr 0.667 0.333 0.750
Cl 0.333 0.667 0.750
Cl 0.667 0.333 0.250

***

[4]
Material: La2SbPd2
Method: DFT, meta-GGA SCAN
State: PBEsol geometry

Values from the calculation:
Formation energy from raw total energies (kJ/mol of formula units): -521
Theoretical density (Mg/m³): 8.6
Magnetization (μB per formula unit): 0.00
E_tot (eV per cell): -388.84

Unit cell a=7.587 b=7.587 c=4.110 alpha=90.00 beta=90.00 gamma=90.00
Fractional coordinates of all 10 atoms:
La 0.181 0.319 0.000
La 0.319 0.819 0.000
La 0.681 0.181 0.000
La 0.819 0.681 0.000
Sb 0.000 0.000 0.500
Sb 0.500 0.500 0.500
Pd 0.127 0.627 0.500
Pd 0.373 0.127 0.500
Pd 0.627 0.873 0.500
Pd 0.873 0.373 0.500

***

Among the records above, which one has the highest magnetization? Sr2Cl

***

Among the records above, which one has the lowest formation energy from raw total energies? La2SbPd2